1.
# RbSr2IrO5 GGA-PBE optimized geometry
# Raw formation energy   -1.82 eV/atom
# Density of states at the Fermi level   0.41 states/eV per atom
data_RbSr2IrO5
_cell_length_a 3.9294
_cell_length_b 6.2931
_cell_length_c 11.5562
_cell_angle_alpha 90.00
_cell_angle_beta 90.00
_cell_angle_gamma 90.00
_symmetry_space_group_name_H-M 'I m m m'
_symmetry_Int_Tables_number 71
_symmetry_space_group_name_Hall '-I 2 2'
loop_
_atom_site_label
_atom_site_type_symbol
_atom_site_fract_x
_atom_site_fract_y
_atom_site_fract_z
Rb1 Rb 0.0000 0.0000 0.0000
Sr1 Sr 0.0000 0.5000 0.2211
Ir1 Ir 0.0000 0.0000 0.5000
O1 O 0.0000 0.2157 0.3699
O2 O 0.0000 0.5000 0.0000

=====

2.
# CaZn2GaCu4 GGA-PBE optimized geometry
# Density of states at the Fermi level   0.52 states/eV per atom
# DFT formation energy   -0.084 eV/atom
data_CaZn2GaCu4
_cell_length_a 4.2209
_cell_length_b 4.2209
_cell_length_c 25.1562
_cell_angle_alpha 90.00
_cell_angle_beta 90.00
_cell_angle_gamma 120.00
_symmetry_space_group_name_H-M 'R -3 m'
_symmetry_Int_Tables_number 166
_symmetry_space_group_name_Hall '-R 3 2"'
loop_
_atom_site_label
_atom_site_type_symbol
_atom_site_fract_x
_atom_site_fract_y
_atom_site_fract_z
Ca1 Ca 0.0000 0.0000 0.0000
Zn1 Zn 0.0000 0.0000 0.2437
Ga1 Ga 0.0000 0.0000 0.5000
Cu1 Cu 0.0000 0.0000 0.1274
Cu2 Cu 0.0000 0.0000 0.4053